No. 1
CsRb2Ac: relaxed, PBE.

formation enthalpy at 0 K: 34.4 kJ/mol of atoms
energy: -1.3674 eV per atom
density of states at the Fermi level: 1.401 states/eV per atom

a = 4.3241 Å, b = 4.3241 Å, c = 17.5557 Å
α = 82.93°, β = 82.93°, γ = 60.00°
Fractional positions:
Cs 0.5000 0.5000 0.5000
Ac 0.0000 0.0000 0.0000
Rb 0.0789 0.0789 0.7633
Rb 0.9211 0.9211 0.2367



No. 2
Cs2RbAc: relaxed, PBE.

formation enthalpy at 0 K: 34.1 kJ/mol of atoms
energy: -1.3421 eV per atom
density of states at the Fermi level: 1.094 states/eV per atom

a = 4.3662 Å, b = 4.3662 Å, c = 17.5721 Å
α = 82.86°, β = 82.86°, γ = 60.00°
Fractional positions:
Cs 0.0789 0.0789 0.7633
Cs 0.9211 0.9211 0.2367
Ac 0.0000 0.0000 0.0000
Rb 0.5000 0.5000 0.5000



No. 3
CsAc3Rh: relaxed, PBE.

formation enthalpy at 0 K: -10.2 kJ/mol of atoms
energy: -4.2117 eV per atom
density of states at the Fermi level: 0.860 states/eV per atom

a = 6.0768 Å, b = 6.0768 Å, c = 6.0768 Å
α = 90.00°, β = 90.00°, γ = 90.00°
Fractional positions:
Cs 0.5000 0.5000 0.5000
Ac 0.0000 0.5000 0.0000
Ac 0.0000 0.0000 0.5000
Ac 0.5000 0.0000 0.0000
Rh 0.0000 0.0000 0.0000



No. 4
CsAc2Rh: relaxed, PBE.

formation enthalpy at 0 K: -30.4 kJ/mol of atoms
energy: -4.4203 eV per atom
density of states at the Fermi level: 0.929 states/eV per atom

a = 4.3996 Å, b = 4.3996 Å, c = 12.1599 Å
α = 79.58°, β = 79.58°, γ = 60.00°
Fractional positions:
Cs 0.0000 0.0000 0.0000
Ac 0.1226 0.1226 0.6321
Ac 0.8774 0.8774 0.3679
Rh 0.5000 0.5000 0.5000



No. 5
CsAcS: relaxed, PBE.

formation energy without anion corrections: -0.97 eV/atom
excess energy over the best structure of this formula in the dataset: 0.00 kcal/mol of atoms
energy: -3.9959 eV per atom
density of states at the Fermi level: 1.218 states/eV per atom

a = 8.3410 Å, b = 4.4209 Å, c = 4.4209 Å
α = 120.00°, β = 90.00°, γ = 90.00°
Site moments in Bohr magnetons follow the coordinates.
Fractional positions:
Cs 0.5894 0.6667 0.3333  0.01
Ac 0.1132 0.0000 0.0000  0.21
S 0.2974 0.3333 0.6667  0.01



No. 6
CsAcS14: relaxed, PBE.

formation energy without anion corrections: -0.28 eV/atom
energy: -4.2016 eV per atom
density of states at the Fermi level: 0.380 states/eV per atom

a = 11.2782 Å, b = 14.1269 Å, c = 14.1269 Å
α = 36.45°, β = 66.47°, γ = 66.47°
Fractional positions:
Cs 0.2500 0.4629 0.0371
Cs 0.7500 0.5371 0.9629
Ac 0.5000 0.0000 0.5000
Ac 0.0000 0.0000 0.5000
S 0.5826 0.4395 0.3952
S 0.4174 0.5605 0.6048
S 0.0826 0.8952 0.9395
S 0.9174 0.1048 0.0605
S 0.1922 0.0051 0.6106
S 0.8078 0.9949 0.3894
S 0.6922 0.1106 0.5051
S 0.3078 0.8894 0.4949
S 0.1060 0.0813 0.7068
S 0.8940 0.9187 0.2932
S 0.6060 0.2068 0.5813
S 0.3940 0.7932 0.4187
S 0.8468 0.4988 0.2056
S 0.5512 0.5012 0.7944
S 0.3468 0.7056 0.9988
S 0.0512 0.2944 0.0012
S 0.1532 0.5012 0.7944
S 0.4488 0.4988 0.2056
S 0.6532 0.2944 0.0012
S 0.9488 0.7056 0.9988
S 0.4820 0.8552 0.8223
S 0.1596 0.1448 0.1777
S 0.9820 0.3223 0.3552
S 0.6596 0.6777 0.6448
S 0.5180 0.1448 0.1777
S 0.8404 0.8552 0.8223
S 0.0180 0.6777 0.6448
S 0.3404 0.3223 0.3552



No. 7
Cs2AcS10: relaxed, PBE.

formation energy without anion corrections: -0.54 eV/atom
energy: -4.1664 eV per atom
density of states at the Fermi level: 0.866 states/eV per atom

a = 5.8490 Å, b = 5.9188 Å, c = 27.1843 Å
α = 90.00°, β = 90.00°, γ = 90.00°
Fractional positions:
Cs 0.5000 0.4970 0.8524
Cs 0.5000 0.5030 0.1476
Cs 0.5000 0.9970 0.6476
Cs 0.5000 0.0030 0.3524
Ac 0.0000 0.5000 0.5000
Ac 0.0000 0.0000 0.0000
S 0.0000 0.0002 0.4624
S 0.0000 0.9998 0.5376
S 0.0000 0.5002 0.0376
S 0.0000 0.4998 0.9624
S 0.0000 0.2536 0.7148
S 0.0000 0.7464 0.2852
S 0.3262 0.0026 0.0854
S 0.3262 0.9974 0.9146
S 0.6738 0.5026 0.4146
S 0.6738 0.4974 0.5854
S 0.6738 0.9974 0.9146
S 0.6738 0.0026 0.0854
S 0.3262 0.4974 0.5854
S 0.3262 0.5026 0.4146
S 0.0000 0.7723 0.2147
S 0.0000 0.2277 0.7853
S 0.0000 0.2723 0.2853
S 0.0000 0.7277 0.7147
S 0.0000 0.2464 0.2148
S 0.0000 0.7536 0.7852



No. 8
Cs14Ac2S9: relaxed, PBE.

formation energy without anion corrections: -1.15 eV/atom
energy: -3.4435 eV per atom
density of states at the Fermi level: 0.230 states/eV per atom

a = 9.9779 Å, b = 9.9779 Å, c = 13.9565 Å
α = 90.00°, β = 90.00°, γ = 120.00°
Fractional positions:
Cs 0.0522 0.6849 0.9083
Cs 0.2993 0.9060 0.5952
Cs 0.0940 0.3933 0.5952
Cs 0.0000 0.0000 0.2505
Cs 0.0000 0.0000 0.7495
Cs 0.3151 0.3673 0.9083
Cs 0.6327 0.9478 0.9083
Cs 0.3933 0.2993 0.4048
Cs 0.6067 0.7007 0.5952
Cs 0.3673 0.0522 0.0917
Cs 0.6849 0.6327 0.0917
Cs 0.9060 0.6067 0.4048
Cs 0.7007 0.0940 0.4048
Cs 0.9478 0.3151 0.0917
Ac 0.3333 0.6667 0.2692
Ac 0.6667 0.3333 0.7308
S 0.2800 0.9064 0.3403
S 0.0936 0.3735 0.3403
S 0.3333 0.6667 0.0642
S 0.0000 0.0000 0.0000
S 0.3735 0.2800 0.6597
S 0.6265 0.7200 0.3403
S 0.6667 0.3333 0.9358
S 0.9064 0.6265 0.6597
S 0.7200 0.0936 0.6597



No. 9
CsAc2S4: relaxed, PBE.

formation energy without anion corrections: -1.65 eV/atom
energy: -5.3092 eV per atom
density of states at the Fermi level: 0.713 states/eV per atom

a = 4.3868 Å, b = 7.7565 Å, c = 15.0960 Å
α = 90.00°, β = 90.00°, γ = 106.43°
Site moments in Bohr magnetons follow the coordinates.
Fractional positions:
Cs 0.6166 0.2331 0.7500  0.01
Cs 0.3834 0.7669 0.2500  0.01
Ac 0.1327 0.2655 0.4388  0.01
Ac 0.8673 0.7345 0.9388  0.01
Ac 0.1327 0.2655 0.0612  0.01
Ac 0.8673 0.7345 0.5612  0.01
S 0.7580 0.5160 0.1022  0.12
S 0.7580 0.5160 0.3978  0.12
S 0.2420 0.4840 0.8978  0.12
S 0.2420 0.4840 0.6022  0.12
S 0.9201 0.8402 0.7500  0.36
S 0.0799 0.1598 0.2500  0.36
S 0.5000 0.0000 0.0000  0.01
S 0.5000 0.0000 0.5000  0.01



No. 10
CsAc6S8: relaxed, PBE.

formation energy without anion corrections: -1.86 eV/atom
energy: -5.7617 eV per atom
density of states at the Fermi level: 0.620 states/eV per atom

a = 4.3859 Å, b = 11.7366 Å, c = 11.7366 Å
α = 120.00°, β = 90.00°, γ = 90.00°
Fractional positions:
Cs 0.5000 0.0000 0.0000
Ac 0.7540 0.5269 0.6688
Ac 0.7540 0.3312 0.8581
Ac 0.7540 0.1419 0.4731
Ac 0.2460 0.4731 0.3312
Ac 0.2460 0.6688 0.1419
Ac 0.2460 0.8581 0.5269
S 0.7447 0.6297 0.9555
S 0.7447 0.0445 0.6742
S 0.7447 0.3258 0.3703
S 0.2553 0.3703 0.0445
S 0.2553 0.9555 0.3258
S 0.2553 0.6742 0.6297
S 0.7457 0.6667 0.3333
S 0.2543 0.3333 0.6667



No. 11
CsAcS: relaxed, PBE.

formation energy without anion corrections: -0.96 eV/atom
excess energy over the best structure of this formula in the dataset: 0.17 kcal/mol of atoms
energy: -3.9887 eV per atom
density of states at the Fermi level: 0.792 states/eV per atom

a = 3.9921 Å, b = 3.9921 Å, c = 8.5343 Å
α = 103.53°, β = 103.53°, γ = 90.00°
Fractional positions:
Cs 0.0270 0.0270 0.0541
Ac 0.2720 0.2720 0.5441
S 0.7009 0.7009 0.4019



No. 12
Cs5AcS5: relaxed, PBE.

formation energy without anion corrections: -1.08 eV/atom
energy: -3.7147 eV per atom
density of states at the Fermi level: 1.523 states/eV per atom

a = 6.6272 Å, b = 8.7450 Å, c = 9.5701 Å
α = 107.26°, β = 90.00°, γ = 112.27°
Site moments in Bohr magnetons follow the coordinates.
Fractional positions:
Cs 0.6953 0.3905 0.3161  0.01
Cs 0.6769 0.3538 0.8485  0.01
Cs 0.0000 0.0000 0.5000  0.02
Cs 0.3231 0.6462 0.1515  0.01
Cs 0.3047 0.6095 0.6839  0.01
Ac 0.0000 0.0000 0.0000  0.00
S 0.8659 0.7319 0.1490  0.22
S 0.8601 0.7201 0.7059  0.24
S 0.5000 0.0000 0.0000  0.27
S 0.1399 0.2799 0.2941  0.24
S 0.1341 0.2681 0.8510  0.22



What did the eleventh record say?
CsAcS: relaxed, PBE.

formation energy without anion corrections: -0.96 eV/atom
excess energy over the best structure of this formula in the dataset: 0.17 kcal/mol of atoms
energy: -3.9887 eV per atom
density of states at the Fermi level: 0.792 states/eV per atom

a = 3.9921 Å, b = 3.9921 Å, c = 8.5343 Å
α = 103.53°, β = 103.53°, γ = 90.00°
Fractional positions:
Cs 0.0270 0.0270 0.0541
Ac 0.2720 0.2720 0.5441
S 0.7009 0.7009 0.4019